Entry 1:
Computed, not measured: a relaxed InNi2Te crystal at the GGA-PBEsol level of DFT.

## Properties
Relative energy among the computed polymorphs: 0.0 meV/atom
Magnetic moment: 0.000 μB/atom
Formation energy (no corrections): 0 meV/atom

Geometry as CIF:
```
data_InNi2Te
_chemical_formula_sum 'In1 Ni2 Te1'
_symmetry_space_group_name_H-M 'P 4 m m'
_symmetry_Int_Tables_number 99
_cell_length_a 3.296
_cell_length_b 3.296
_cell_length_c 6.496
_cell_angle_alpha 90.00
_cell_angle_beta 90.00
_cell_angle_gamma 90.00
loop_
_symmetry_equiv_pos_as_xyz
'x,y,z'
'-y,x,z'
'-x,-y,z'
'y,-x,z'
'-x,y,z'
'y,x,z'
'x,-y,z'
'-y,-x,z'
loop_
_atom_site_label
_atom_site_fract_x
_atom_site_fract_y
_atom_site_fract_z
In1 0.000 0.000 0.000
Ni1 0.000 0.000 0.403
Ni2 0.500 0.500 0.190
Te1 0.500 0.500 0.570
```

***

Entry 2:
Computed, not measured: a relaxed InNi3Te crystal at the GGA-PBEsol level of DFT.

## Properties
Magnetic moment: 0.000 μB/atom
Formation energy (no corrections): 1005 meV/atom

Geometry as CIF:
```
data_InNi3Te
_chemical_formula_sum 'In1 Ni3 Te1'
_symmetry_space_group_name_H-M 'P m -3 m'
_symmetry_Int_Tables_number 221
_symmetry_space_group_name_Hall '-P 4 2 3'
_cell_length_a 4.588
_cell_length_b 4.588
_cell_length_c 4.588
_cell_angle_alpha 90.00
_cell_angle_beta 90.00
_cell_angle_gamma 90.00
loop_
_atom_site_label
_atom_site_fract_x
_atom_site_fract_y
_atom_site_fract_z
In1 0.000 0.000 0.000
Ni1 0.000 0.000 0.500
Te1 0.500 0.500 0.500
```

***

Entry 3:
Computed, not measured: a relaxed InNiTe2 crystal at the GGA-PBEsol level of DFT.

## Properties
Magnetic moment: 0.000 μB/atom
Formation energy (no corrections): -190 meV/atom

Geometry as CIF:
```
data_InNiTe2
_chemical_formula_sum 'In3 Ni3 Te6'
_symmetry_space_group_name_H-M 'R -3 m'
_symmetry_Int_Tables_number 166
_symmetry_space_group_name_Hall '-R 3 2"'
_cell_length_a 3.8781
_cell_length_b 3.8781
_cell_length_c 21.3798
_cell_angle_alpha 90.00
_cell_angle_beta 90.00
_cell_angle_gamma 120.00
loop_
_atom_site_label
_atom_site_fract_x
_atom_site_fract_y
_atom_site_fract_z
In1 0.0000 0.0000 0.0000
Ni1 0.0000 0.0000 0.5000
Te1 0.0000 0.0000 0.2287
```

***

Entry 4:
Computed, not measured: a relaxed In3NiTe crystal at the GGA-PBEsol level of DFT.

## Properties
Relative energy among the computed polymorphs: 1308.4 meV/atom
Magnetic moment: 0.126 μB/atom
Formation energy (no corrections): 1198 meV/atom

Geometry as CIF:
```
data_In3NiTe
_chemical_formula_sum 'In3 Ni1 Te1'
_symmetry_space_group_name_H-M 'P m -3 m'
_symmetry_Int_Tables_number 221
_symmetry_space_group_name_Hall '-P 4 2 3'
_cell_length_a 5.615
_cell_length_b 5.615
_cell_length_c 5.615
_cell_angle_alpha 90.00
_cell_angle_beta 90.00
_cell_angle_gamma 90.00
loop_
_atom_site_label
_atom_site_fract_x
_atom_site_fract_y
_atom_site_fract_z
In1 0.000 0.000 0.500
Ni1 0.500 0.500 0.500
Te1 0.000 0.000 0.000
```

***

Entry 5:
Computed, not measured: a relaxed InNi2Te crystal at the GGA-PBEsol level of DFT.

## Properties
Relative energy among the computed polymorphs: 73.7 meV/atom
Magnetic moment: 0.000 μB/atom
Formation energy (no corrections): 74 meV/atom

Geometry as CIF:
```
data_InNi2Te
_chemical_formula_sum 'In1 Ni2 Te1'
_symmetry_space_group_name_H-M 'P 4/m m m'
_symmetry_Int_Tables_number 123
_symmetry_space_group_name_Hall '-P 4 2'
_cell_length_a 3.235
_cell_length_b 3.235
_cell_length_c 6.113
_cell_angle_alpha 90.00
_cell_angle_beta 90.00
_cell_angle_gamma 90.00
loop_
_atom_site_label
_atom_site_fract_x
_atom_site_fract_y
_atom_site_fract_z
In1 0.000 0.000 0.000
Ni1 0.500 0.500 0.238
Te1 0.000 0.000 0.500
```

***

Entry 6:
Computed, not measured: a relaxed In3NiTe crystal at the GGA-PBEsol level of DFT.

## Properties
Relative energy among the computed polymorphs: 0.0 meV/atom
Magnetic moment: 0.000 μB/atom
Formation energy (no corrections): -110 meV/atom

Geometry as CIF:
```
data_In3NiTe
_chemical_formula_sum 'In3 Ni1 Te1'
_symmetry_space_group_name_H-M 'P m -3 m'
_symmetry_Int_Tables_number 221
_symmetry_space_group_name_Hall '-P 4 2 3'
_cell_length_a 4.970
_cell_length_b 4.970
_cell_length_c 4.970
_cell_angle_alpha 90.00
_cell_angle_beta 90.00
_cell_angle_gamma 90.00
loop_
_atom_site_label
_atom_site_fract_x
_atom_site_fract_y
_atom_site_fract_z
In1 0.000 0.000 0.500
Ni1 0.000 0.000 0.000
Te1 0.500 0.500 0.500
```

***

Repeat the third record exactly.
Computed, not measured: a relaxed InNiTe2 crystal at the GGA-PBEsol level of DFT.

## Properties
Magnetic moment: 0.000 μB/atom
Formation energy (no corrections): -190 meV/atom

Geometry as CIF:
```
data_InNiTe2
_chemical_formula_sum 'In3 Ni3 Te6'
_symmetry_space_group_name_H-M 'R -3 m'
_symmetry_Int_Tables_number 166
_symmetry_space_group_name_Hall '-R 3 2"'
_cell_length_a 3.8781
_cell_length_b 3.8781
_cell_length_c 21.3798
_cell_angle_alpha 90.00
_cell_angle_beta 90.00
_cell_angle_gamma 120.00
loop_
_atom_site_label
_atom_site_fract_x
_atom_site_fract_y
_atom_site_fract_z
In1 0.0000 0.0000 0.0000
Ni1 0.0000 0.0000 0.5000
Te1 0.0000 0.0000 0.2287
```